Below is a relaxed MgIn4W crystal, with properties calculated at the PBE level.

**M_tot**: 0.000 μB per cell
**Calculated total energy**: -3.546 eV per atom
**Energy relative to the elements**: 16.2 kcal/mol of atoms
**Symmetry**: No. 216

Cell lengths 5.708, 5.708, 5.708 Å; angles 60.00, 60.00, 60.00 degrees
Fractional positions:
Mg 0.000 0.000 0.000
In 0.375 0.375 0.375
In 0.375 0.375 0.875
In 0.375 0.875 0.375
In 0.875 0.375 0.375
W 0.750 0.750 0.750

Below is a relaxed SrTa2W crystal, with properties calculated at the PBE level.

**Relative energy among the computed polymorphs**: 1.42 eV per formula unit
**M_tot**: 0.000 μB per cell
**Calculated total energy**: -8.659 eV per atom
**Energy relative to the elements**: 21.4 kcal/mol of atoms
**Symmetry**: No. 160

Cell lengths 10.966, 10.966, 10.966 Å; angles 15.53, 15.53, 15.53 degrees
Fractional positions:
Sr 0.000 0.000 0.000
Ta 0.504 0.504 0.504
Ta 0.760 0.760 0.760
W 0.245 0.245 0.245

Below is a relaxed BaBeSe2 crystal, with properties calculated at the PBE level.

**M_tot**: 0.000 μB per cell
**E_form (uncorrected)**: -3.5 eV per formula unit
**Calculated total energy**: -4.029 eV per atom
**Symmetry**: No. 160

Cell lengths 7.389, 7.389, 7.389 Å; angles 31.38, 31.38, 31.38 degrees
Fractional positions:
Ba 0.000 0.000 0.000
Be 0.830 0.830 0.830
Se 0.227 0.227 0.227
Se 0.441 0.441 0.441

Below is a relaxed Ac6LaIn2 crystal, with properties calculated at the PBE level.

**M_tot**: 0.000 μB per cell
**Calculated total energy**: -4.075 eV per atom
**Energy relative to the elements**: -4.2 kcal/mol of atoms
**Symmetry**: No. 12

Cell lengths 7.313, 7.313, 13.066 Å; angles 107.39, 107.39, 32.61 degrees
Fractional positions:
Ac 0.026 0.026 0.332
Ac 0.311 0.311 0.407
Ac 0.320 0.320 0.122
Ac 0.680 0.680 0.878
Ac 0.689 0.689 0.593
Ac 0.974 0.974 0.668
La 0.000 0.000 0.000
In 0.353 0.353 0.809
In 0.647 0.647 0.191

Below is a relaxed Tb4CuHg2 crystal, with properties calculated at the PBE level.

**M_tot**: 0.000 μB per cell
**Calculated total energy**: -3.551 eV per atom
**Energy relative to the elements**: -5.4 kcal/mol of atoms
**Symmetry**: No. 166

Cell lengths 8.891, 8.891, 8.891 Å; angles 33.56, 33.56, 33.56 degrees
Fractional positions:
Tb 0.123 0.123 0.123
Tb 0.373 0.373 0.373
Tb 0.627 0.627 0.627
Tb 0.877 0.877 0.877
Cu 0.000 0.000 0.000
Hg 0.246 0.246 0.246
Hg 0.754 0.754 0.754

Below is a relaxed PCSCl2 crystal, with properties calculated at the PBE level.

**Relative energy among the computed polymorphs**: 0.00 eV per formula unit
**M_tot**: 0.000 μB per cell
**E_form (uncorrected)**: 7.0 eV per formula unit
**Calculated total energy**: -3.083 eV per atom
**Symmetry**: No. 123

Cell lengths 4.137, 4.137, 4.631 Å; angles 90.00, 90.00, 90.00 degrees
Fractional positions:
P 0.000 0.000 0.000
C 0.000 0.000 0.500
S 0.500 0.500 0.000
Cl 0.000 0.500 0.500
Cl 0.500 0.000 0.500

Below is a relaxed Rb3LaPr2S6 crystal, with properties calculated at the PBE level.

**M_tot**: 0.000 μB per cell
**E_form (uncorrected)**: -22.1 eV per formula unit
**Calculated total energy**: -5.357 eV per atom
**Symmetry**: No. 12

Cell lengths 7.414, 7.414, 8.100 Å; angles 98.77, 98.77, 120.01 degrees
Fractional positions:
Rb 0.000 0.000 0.000
Rb 0.333 0.667 0.000
Rb 0.667 0.333 0.000
La 0.500 0.500 0.500
Pr 0.167 0.833 0.500
Pr 0.833 0.167 0.500
S 0.099 0.434 0.302
S 0.231 0.231 0.698
S 0.434 0.099 0.302
S 0.566 0.901 0.698
S 0.769 0.769 0.302
S 0.901 0.566 0.698

Below is a relaxed BaGeCl2 crystal, with properties calculated at the PBE level.

**Relative energy among the computed polymorphs**: 0.00 eV per formula unit
**M_tot**: 0.000 μB per cell
**E_form (uncorrected)**: -4.3 eV per formula unit
**Calculated total energy**: -3.642 eV per atom
**Symmetry**: No. 166

Cell lengths 8.400, 8.400, 8.400 Å; angles 33.95, 33.95, 33.95 degrees
Fractional positions:
Ba 0.000 0.000 0.000
Ge 0.500 0.500 0.500
Cl 0.384 0.384 0.384
Cl 0.616 0.616 0.616

calculated total energy of number 4 (Ac6LaIn2)? -4.075 eV per atom

What is the formula in the seventh record? Rb3LaPr2S6

What did the eighth record say?
Below is a relaxed BaGeCl2 crystal, with properties calculated at the PBE level.

**Relative energy among the computed polymorphs**: 0.00 eV per formula unit
**M_tot**: 0.000 μB per cell
**E_form (uncorrected)**: -4.3 eV per formula unit
**Calculated total energy**: -3.642 eV per atom
**Symmetry**: No. 166

Cell lengths 8.400, 8.400, 8.400 Å; angles 33.95, 33.95, 33.95 degrees
Fractional positions:
Ba 0.000 0.000 0.000
Ge 0.500 0.500 0.500
Cl 0.384 0.384 0.384
Cl 0.616 0.616 0.616

What is the calculated total energy in the fourth record? -4.075 eV per atom